# Sm2TlZn (PBE-GGA, relaxed)
# N(E_F) = 5.08 states/eV/cell
# polymorph energy (0 for the lowest one) = 22 meV per atom
# raw total energy = -3.60 eV per atom
# energy of formation from the pure elements = -0.331 eV/atom
data_Sm2TlZn
_chemical_formula_sum 'Sm2 Tl1 Zn1'
_cell_length_a 5.3360
_cell_length_b 5.3360
_cell_length_c 5.3360
_cell_angle_alpha 60.00
_cell_angle_beta 60.00
_cell_angle_gamma 60.00
_space_group_name_H-M_alt 'P 1'
_space_group_IT_number 1
_space_group_name_Hall 'P 1'
loop_
_atom_site_label
_atom_site_fract_x
_atom_site_fract_y
_atom_site_fract_z
_atom_site_occupancy
Sm1 0.7500 0.7500 0.7500 1
Sm2 0.2500 0.2500 0.2500 1
Zn1 0.5000 0.5000 0.5000 1
Tl1 0.0000 0.0000 0.0000 1

---

# BaSr3Ir (PBE-GGA, relaxed)
# N(E_F) = 7.06 states/eV/cell
# polymorph energy (0 for the lowest one) = 7 meV per atom
# raw total energy = -3.32 eV per atom
# energy of formation from the pure elements = -0.157 eV/atom
data_BaSr3Ir
_chemical_formula_sum 'Ba2 Sr6 Ir2'
_cell_length_a 7.1321
_cell_length_b 9.1914
_cell_length_c 10.7736
_cell_angle_alpha 90.00
_cell_angle_beta 40.89
_cell_angle_gamma 90.00
_space_group_name_H-M_alt 'P 1'
_space_group_IT_number 1
_space_group_name_Hall 'P 1'
loop_
_atom_site_label
_atom_site_fract_x
_atom_site_fract_y
_atom_site_fract_z
_atom_site_occupancy
Ba1 0.0019 0.2500 0.2725 1
Sr1 0.0003 0.2500 0.7307 1
Ba2 0.9981 0.7500 0.7275 1
Sr2 0.4105 0.4997 0.7943 1
Sr3 0.5895 0.5003 0.2057 1
Sr4 0.5895 0.9997 0.2057 1
Ir1 0.0008 0.7500 0.9993 1
Sr5 0.9997 0.7500 0.2693 1
Sr6 0.4105 0.0003 0.7943 1
Ir2 0.9992 0.2500 0.0007 1

---

# LiZr2P3O12 (PBE-GGA, relaxed)
# N(E_F) = 0.00 states/eV/cell
# polymorph energy (0 for the lowest one) = 17 meV per atom
# E_form (uncorrected) = -2.687 eV per atom
# raw total energy = -7.95 eV per atom
data_LiZr2P3O12
_chemical_formula_sum 'Li2 Zr4 P6 O24'
_cell_length_a 9.0256
_cell_length_b 9.0256
_cell_length_c 9.0256
_cell_angle_alpha 59.34
_cell_angle_beta 59.34
_cell_angle_gamma 59.34
_space_group_name_H-M_alt 'P 1'
_space_group_IT_number 1
_space_group_name_Hall 'P 1'
loop_
_atom_site_label
_atom_site_fract_x
_atom_site_fract_y
_atom_site_fract_z
_atom_site_occupancy
O1 0.6122 0.8072 0.0006 1
O2 0.4402 0.5898 0.2287 1
Zr1 0.6429 0.6429 0.6429 1
O3 0.5598 0.4102 0.7713 1
O4 0.2287 0.4402 0.5898 1
O5 0.3878 0.1928 0.9994 1
O6 0.7287 0.0898 0.9402 1
P1 0.4561 0.7500 0.0439 1
O7 0.4102 0.7713 0.5598 1
O8 0.2713 0.9102 0.0598 1
P2 0.9561 0.5439 0.2500 1
O9 0.0598 0.2713 0.9102 1
O10 0.6928 0.8878 0.4994 1
Zr2 0.3571 0.3571 0.3571 1
O11 0.1928 0.9994 0.3878 1
O12 0.9402 0.7287 0.0898 1
O13 0.8878 0.4994 0.6928 1
O14 0.5006 0.3072 0.1122 1
O15 0.0006 0.6122 0.8072 1
O16 0.0898 0.9402 0.7287 1
O17 0.3072 0.1122 0.5006 1
O18 0.8072 0.0006 0.6122 1
Zr3 0.1429 0.1429 0.1429 1
P3 0.2500 0.9561 0.5439 1
O19 0.9994 0.3878 0.1928 1
P4 0.0439 0.4561 0.7500 1
O20 0.1122 0.5006 0.3072 1
Li1 0.0000 0.0000 0.0000 1
O21 0.7713 0.5598 0.4102 1
O22 0.4994 0.6928 0.8878 1
P5 0.7500 0.0439 0.4561 1
O23 0.9102 0.0598 0.2713 1
P6 0.5439 0.2500 0.9561 1
Zr4 0.8571 0.8571 0.8571 1
O24 0.5898 0.2287 0.4402 1
Li2 0.5000 0.5000 0.5000 1

---

# AlZnMo2 (PBE-GGA, relaxed)
# N(E_F) = 2.09 states/eV/cell
# raw total energy = -6.55 eV per atom
# energy of formation from the pure elements = 0.124 eV/atom
data_AlZnMo2
_chemical_formula_sum 'Al1 Zn1 Mo2'
_cell_length_a 2.7009
_cell_length_b 2.7009
_cell_length_c 8.4981
_cell_angle_alpha 90.00
_cell_angle_beta 90.00
_cell_angle_gamma 90.00
_space_group_name_H-M_alt 'P 1'
_space_group_IT_number 1
_space_group_name_Hall 'P 1'
loop_
_atom_site_label
_atom_site_fract_x
_atom_site_fract_y
_atom_site_fract_z
_atom_site_occupancy
Al1 0.5000 0.5000 0.7501 1
Mo1 0.5000 0.5000 0.2572 1
Mo2 0.0000 0.0000 0.9896 1
Zn1 0.0000 0.0000 0.5030 1

---

# Y4CdBi (PBE-GGA, relaxed)
# N(E_F) = 20.86 states/eV/cell
# raw total energy = -5.51 eV per atom
# energy of formation from the pure elements = -0.397 eV/atom
data_Y4CdBi
_chemical_formula_sum 'Y16 Cd4 Bi4'
_cell_length_a 10.0581
_cell_length_b 10.0581
_cell_length_c 10.0581
_cell_angle_alpha 60.00
_cell_angle_beta 60.00
_cell_angle_gamma 60.00
_space_group_name_H-M_alt 'P 1'
_space_group_IT_number 1
_space_group_name_Hall 'P 1'
loop_
_atom_site_label
_atom_site_fract_x
_atom_site_fract_y
_atom_site_fract_z
_atom_site_occupancy
Bi1 0.5982 0.5982 0.2055 1
Y1 0.1842 0.8158 0.1842 1
Y2 0.9392 0.5608 0.5608 1
Y3 0.3762 0.3762 0.8713 1
Y4 0.8158 0.1842 0.8158 1
Y5 0.5608 0.9392 0.9392 1
Y6 0.8713 0.3762 0.3762 1
Cd1 0.1605 0.1605 0.5184 1
Cd2 0.1605 0.5184 0.1605 1
Bi2 0.5982 0.2055 0.5982 1
Y7 0.3762 0.3762 0.3762 1
Y8 0.9392 0.9392 0.5608 1
Y9 0.1842 0.8158 0.8158 1
Y10 0.8158 0.1842 0.1842 1
Bi3 0.5982 0.5982 0.5982 1
Y11 0.8158 0.8158 0.1842 1
Cd3 0.5184 0.1605 0.1605 1
Cd4 0.1605 0.1605 0.1605 1
Bi4 0.2055 0.5982 0.5982 1
Y12 0.3762 0.8713 0.3762 1
Y13 0.9392 0.5608 0.9392 1
Y14 0.1842 0.1842 0.8158 1
Y15 0.5608 0.9392 0.5608 1
Y16 0.5608 0.5608 0.9392 1

---

# ErMgSc2Tl4 (PBE-GGA, relaxed)
# N(E_F) = 4.03 states/eV/cell
# raw total energy = -3.75 eV per atom
# energy of formation from the pure elements = -0.213 eV/atom
data_ErMgSc2Tl4
_chemical_formula_sum 'Er1 Mg1 Sc2 Tl4'
_cell_length_a 5.1187
_cell_length_b 5.1187
_cell_length_c 9.1217
_cell_angle_alpha 73.71
_cell_angle_beta 73.71
_cell_angle_gamma 60.00
_space_group_name_H-M_alt 'P 1'
_space_group_IT_number 1
_space_group_name_Hall 'P 1'
loop_
_atom_site_label
_atom_site_fract_x
_atom_site_fract_y
_atom_site_fract_z
_atom_site_occupancy
Sc1 0.7546 0.7546 0.7362 1
Er1 0.0000 0.0000 0.0000 1
Sc2 0.2454 0.2454 0.2638 1
Tl1 0.8748 0.8748 0.3757 1
Mg1 0.5000 0.5000 0.5000 1
Tl2 0.1252 0.1252 0.6243 1
Tl3 0.6229 0.6229 0.1312 1
Tl4 0.3771 0.3771 0.8688 1

---

# Y4In5Pd2 (PBE-GGA, relaxed)
# N(E_F) = 5.82 states/eV/cell
# raw total energy = -5.17 eV per atom
# energy of formation from the pure elements = -0.631 eV/atom
data_Y4In5Pd2
_chemical_formula_sum 'Y4 In5 Pd2'
_cell_length_a 3.6454
_cell_length_b 7.7168
_cell_length_c 9.7150
_cell_angle_alpha 94.49
_cell_angle_beta 90.00
_cell_angle_gamma 90.00
_space_group_name_H-M_alt 'P 1'
_space_group_IT_number 1
_space_group_name_Hall 'P 1'
loop_
_atom_site_label
_atom_site_fract_x
_atom_site_fract_y
_atom_site_fract_z
_atom_site_occupancy
In1 0.0000 0.4530 0.6789 1
Pd1 0.0000 0.9273 0.3618 1
In2 0.0000 0.8271 0.8492 1
In3 0.0000 0.5470 0.3211 1
Pd2 0.0000 0.0727 0.6382 1
Y1 0.5000 0.8206 0.1402 1
Y2 0.5000 0.7714 0.5612 1
In4 0.0000 0.5000 0.0000 1
In5 0.0000 0.1729 0.1508 1
Y3 0.5000 0.2286 0.4388 1
Y4 0.5000 0.1794 0.8598 1

---

# LaPrDySn (PBE-GGA, relaxed)
# N(E_F) = 6.35 states/eV/cell
# raw total energy = -4.85 eV per atom
# energy of formation from the pure elements = -0.270 eV/atom
data_LaPrDySn
_chemical_formula_sum 'La1 Pr1 Dy1 Sn1'
_cell_length_a 5.5930
_cell_length_b 5.5930
_cell_length_c 5.5930
_cell_angle_alpha 60.00
_cell_angle_beta 60.00
_cell_angle_gamma 60.00
_space_group_name_H-M_alt 'P 1'
_space_group_IT_number 1
_space_group_name_Hall 'P 1'
loop_
_atom_site_label
_atom_site_fract_x
_atom_site_fract_y
_atom_site_fract_z
_atom_site_occupancy
La1 0.5000 0.5000 0.5000 1
Sn1 0.2500 0.2500 0.2500 1
Pr1 0.0000 0.0000 0.0000 1
Dy1 0.7500 0.7500 0.7500 1

---

# Hg2SbPb2 (PBE-GGA, relaxed)
# N(E_F) = 2.34 states/eV/cell
# polymorph energy (0 for the lowest one) = 0 meV per atom
# E_form (uncorrected) = 0.025 eV per atom
# raw total energy = -2.40 eV per atom
data_Hg2SbPb2
_chemical_formula_sum 'Hg2 Sb1 Pb2'
_cell_length_a 4.5146
_cell_length_b 4.5146
_cell_length_c 9.3621
_cell_angle_alpha 76.04
_cell_angle_beta 76.04
_cell_angle_gamma 59.99
_space_group_name_H-M_alt 'P 1'
_space_group_IT_number 1
_space_group_name_Hall 'P 1'
loop_
_atom_site_label
_atom_site_fract_x
_atom_site_fract_y
_atom_site_fract_z
_atom_site_occupancy
Hg1 0.8041 0.3041 0.5877 1
Pb1 0.6008 0.1008 0.1976 1
Sb1 0.0000 0.5000 0.0000 1
Pb2 0.3992 0.8992 0.8024 1
Hg2 0.1959 0.6959 0.4123 1

---

# AcCuH6Pd (PBE-GGA, relaxed)
# N(E_F) = 1.32 states/eV/cell
# raw total energy = -4.01 eV per atom
data_AcCuH6Pd
_chemical_formula_sum 'Ac1 Cu1 H6 Pd1'
_cell_length_a 4.6991
_cell_length_b 4.6990
_cell_length_c 4.7406
_cell_angle_alpha 90.00
_cell_angle_beta 90.00
_cell_angle_gamma 60.00
_space_group_name_H-M_alt 'P 1'
_space_group_IT_number 1
_space_group_name_Hall 'P 1'
loop_
_atom_site_label
_atom_site_fract_x
_atom_site_fract_y
_atom_site_fract_z
_atom_site_occupancy
H1 0.9902 0.5045 0.2590 1
Cu1 0.6666 0.6667 0.5000 1
H2 0.5052 0.9903 0.2590 1
Pd1 0.3333 0.3333 0.4999 1
Ac1 0.0000 0.0000 0.0000 1
H3 0.9902 0.5052 0.7410 1
H4 0.5045 0.5052 0.2590 1
H5 0.5045 0.9903 0.7410 1
H6 0.5052 0.5045 0.7410 1

---

# SmHf2Rh (PBE-GGA, relaxed)
# N(E_F) = 5.44 states/eV/cell
# raw total energy = -8.29 eV per atom
# energy of formation from the pure elements = -0.291 eV/atom
data_SmHf2Rh
_chemical_formula_sum 'Sm1 Hf2 Rh1'
_cell_length_a 3.3384
_cell_length_b 3.3384
_cell_length_c 7.8558
_cell_angle_alpha 90.00
_cell_angle_beta 90.00
_cell_angle_gamma 90.00
_space_group_name_H-M_alt 'P 1'
_space_group_IT_number 1
_space_group_name_Hall 'P 1'
loop_
_atom_site_label
_atom_site_fract_x
_atom_site_fract_y
_atom_site_fract_z
_atom_site_occupancy
Hf1 0.0000 0.0000 0.1976 1
Rh1 0.5000 0.5000 0.0000 1
Hf2 0.0000 0.0000 0.8024 1
Sm1 0.5000 0.5000 0.5000 1